DFT (PBE-GGA) results for crystalline Pr3Tl6Br14 at its relaxed geometry.

The space group is P3 (No. 143) and the conventional cell measures 11.3655, 11.3655 and 8.0826 Å, with angles of 90.00, 90.00 and 120.00 degrees. The asymmetric unit holds Pr at (0.0000, 0.0000, 0.0000), Pr at (0.3333, 0.6667, 0.0766), Pr at (0.6667, 0.3333, 0.4711), Tl at (0.1422, 0.3123, 0.4545), Tl at (0.4991, 0.4607, 0.9164), Br at (0.0000, 0.0000, 0.6496), Br at (0.0929, 0.5532, 0.3053), Br at (0.1941, 0.4109, 0.8671), Br at (0.2485, 0.1313, 0.1645), Br at (0.4141, 0.1935, 0.6264) and Br at (0.6667, 0.3333, 0.1234).

The raw formation energy comes out at -1.256 eV per atom.



DFT (PBE-GGA) results for crystalline Pr2TlBr2 at its relaxed geometry.

The space group is R-3m (No. 166, hexagonal axes) and the conventional cell measures 4.2382, 4.2382 and 34.9507 Å, with angles of 90.00, 90.00 and 120.00 degrees. The asymmetric unit holds Pr at (0.0000, 0.0000, 0.1064), Tl at (0.0000, 0.0000, 0.5000) and Br at (0.0000, 0.0000, 0.2789).

The raw formation energy comes out at -1.170 eV per atom.



DFT (PBE-GGA) results for crystalline Pr5Tl4Br at its relaxed geometry.

The space group is P4/mmm (No. 123) and the conventional cell measures 3.6803, 3.6803 and 22.0109 Å, with angles of 90.00, 90.00 and 90.00 degrees. The asymmetric unit holds Pr at (0.0000, 0.0000, 0.0000), Pr at (0.0000, 0.0000, 0.2015), Pr at (0.0000, 0.0000, 0.3978), Tl at (0.5000, 0.5000, 0.1007), Tl at (0.5000, 0.5000, 0.3039) and Br at (0.5000, 0.5000, 0.5000).

The raw formation energy comes out at -0.526 eV per atom.



DFT (PBE-GGA) results for crystalline Pr2TlBr8 at its relaxed geometry.

The space group is C2/m (No. 12) and the conventional cell measures 11.9828, 9.3874 and 7.5829 Å, with angles of 90.00, 101.74 and 90.00 degrees. The asymmetric unit holds Pr at (0.1828, 0.0000, 0.4520), Tl at (0.0000, 0.5000, 0.0000), Br at (0.0575, 0.0000, 0.7474), Br at (0.1384, 0.3096, 0.3290) and Br at (0.2069, 0.5000, 0.8582).

The raw formation energy comes out at -1.462 eV per atom.



DFT (PBE-GGA) results for crystalline Pr2TmBr at its relaxed geometry.

The space group is R-3m (No. 166, hexagonal axes) and the conventional cell measures 3.7169, 3.7169 and 31.9621 Å, with angles of 90.00, 90.00 and 120.00 degrees. The asymmetric unit holds Pr at (0.0000, 0.0000, 0.2433), Tm at (0.0000, 0.0000, 0.0000) and Br at (0.0000, 0.0000, 0.5000).

As for the energy above the most stable polymorph in this dataset: 0.000 eV/atom. The raw formation energy comes out at -0.540 eV per atom.



DFT (PBE-GGA) results for crystalline PrTmBr3 at its relaxed geometry.

The space group is C2/m (No. 12) and the conventional cell measures 18.7160, 3.9205 and 11.7520 Å, with angles of 90.00, 124.48 and 90.00 degrees. The asymmetric unit holds Pr at (0.1384, 0.0000, 0.2857), Tm at (0.0694, 0.5000, 0.9590), Br at (0.0360, 0.0000, 0.7551), Br at (0.1641, 0.5000, 0.5097) and Br at (0.2075, 0.0000, 0.1116).

The raw formation energy comes out at -1.500 eV per atom.